No. 1
This record from the Alexandria database describes an optimized crystal structure of La2CrRe. The functional is PBE.

a = 7.8385 Å, b = 7.8385 Å, c = 6.2854 Å
α = 51.42°, β = 51.42°, γ = 90.00°
With the nearest neighbours (Å) after each atom.
Fractional coordinates of all 8 atoms:
Re (0.0000, 0.0000, 0.0000)  4 La 2.87, 2 Cr 2.96
Re (0.7500, 0.2500, 0.5000)  4 La 2.87, 2 Cr 2.96
Cr (0.5000, 0.5000, 0.0000)  4 La 2.87, 2 Re 2.96
Cr (0.2500, 0.7500, 0.5000)  4 La 2.87, 2 Re 2.96
La (0.6248, 0.1250, 0.2500)  2 Cr 2.87, 2 Re 2.87, 2 La 2.96
La (0.1252, 0.6250, 0.2500)  2 Cr 2.87, 2 Re 2.87, 2 La 2.96
La (0.3750, 0.3752, 0.7500)  2 Cr 2.87, 2 Re 2.87, 2 La 2.96
La (0.8750, 0.8748, 0.7500)  2 Cr 2.87, 2 Re 2.87, 2 La 2.96

Output
**Energy of formation**: 1.139 eV per atom
**D(E_F)**: 2.475 states/eV/atom
**Space-group type**: I-42d (122)
**Energy above the lowest structure with this stoichiometry**: 871 meV per atom



No. 2
This record from the Alexandria database describes an optimized crystal structure of LaCrRe. The functional is PBE.

a = 4.6014 Å, b = 4.6014 Å, c = 4.6014 Å
α = 60.00°, β = 60.00°, γ = 60.00°
With the nearest neighbours (Å) after each atom.
Fractional coordinates of all 3 atoms:
Cr (0.5000, 0.5000, 0.5000)  4 La 2.82
La (0.7500, 0.7500, 0.7500)  4 Cr 2.82, 4 Re 2.82
Re (0.0000, 0.0000, 0.0000)  4 La 2.82

Output
**Energy of formation**: 1.699 eV per atom
**D(E_F)**: 1.936 states/eV/atom
**Space-group type**: F-43m (216)
**Energy above the lowest structure with this stoichiometry**: 1360 meV per atom



No. 3
This record from the Alexandria database describes an optimized crystal structure of La2CrRe. The functional is PBE.

a = 3.9091 Å, b = 3.1833 Å, c = 8.3855 Å
α = 74.48°, β = 90.00°, γ = 90.00°
With the nearest neighbours (Å) after each atom.
Fractional coordinates of all 4 atoms:
Cr (0.5000, 0.7579, 0.6729)  2 Re 2.34
La (0.0000, 0.9604, 0.9154)  1 Re 2.90, 2 Cr 3.01, 2 La 3.18
La (0.5000, 0.2826, 0.3344)  1 Cr 2.88, 2 Re 3.03, 2 La 3.18
Re (0.0000, 0.4991, 0.5772)  2 Cr 2.34

Output
**Energy of formation**: 0.372 eV per atom
**D(E_F)**: 1.203 states/eV/atom
**Space-group type**: Pm (6)
**Energy above the lowest structure with this stoichiometry**: 104 meV per atom



No. 4
This record from the Alexandria database describes an optimized crystal structure of La3CrRe. The functional is PBE.

a = 5.5626 Å, b = 5.5626 Å, c = 5.5626 Å
α = 90.00°, β = 90.00°, γ = 90.00°
With the nearest neighbours (Å) after each atom.
Fractional coordinates of all 5 atoms:
Re (0.0000, 0.0000, 0.0000)  6 La 2.78
Cr (0.5000, 0.5000, 0.5000)  12 La 3.93
La (0.0000, 0.5000, 0.0000)  2 Re 2.78
La (0.0000, 0.0000, 0.5000)  2 Re 2.78
La (0.5000, 0.0000, 0.0000)  2 Re 2.78

Output
**Energy of formation**: 0.536 eV per atom
**D(E_F)**: 1.115 states/eV/atom
**Space-group type**: Pm-3m (221)
**Energy above the lowest structure with this stoichiometry**: 0 meV per atom



No. 5
This record from the Alexandria database describes an optimized crystal structure of LaCrRe. The functional is PBE.

a = 7.4913 Å, b = 7.2516 Å, c = 2.9216 Å
α = 83.22°, β = 73.99°, γ = 22.78°
With the nearest neighbours (Å) after each atom.
Fractional coordinates of all 3 atoms:
Cr (0.0194, 0.0194, 0.9806)  2 Re 2.37
La (0.3361, 0.3361, 0.6639)  6 La 2.92-3.16, 2 Cr 3.04, 2 Re 3.14
Re (0.6445, 0.6445, 0.3555)  2 Cr 2.37

Output
**Energy of formation**: 0.642 eV per atom
**D(E_F)**: 0.821 states/eV/atom
**Space-group type**: Fmm2 (42)
**Energy above the lowest structure with this stoichiometry**: 302 meV per atom



No. 6
This record from the Alexandria database describes an optimized crystal structure of La2CrRe. The functional is PBE.

a = 5.0039 Å, b = 5.0039 Å, c = 5.0039 Å
α = 60.00°, β = 60.00°, γ = 60.00°
With the nearest neighbours (Å) after each atom.
Fractional coordinates of all 4 atoms:
Cr (0.5000, 0.5000, 0.5000)  4 La 3.06, 4 Re 3.06
La (0.0000, 0.0000, 0.0000)  4 Re 3.06, 4 La 3.06
La (0.2500, 0.2500, 0.2500)  4 La 3.06, 4 Cr 3.06
Re (0.7500, 0.7500, 0.7500)  4 Cr 3.06, 4 La 3.06

Output
**Energy of formation**: 0.618 eV per atom
**D(E_F)**: 1.352 states/eV/atom
**Space-group type**: F-43m (216)
**Energy above the lowest structure with this stoichiometry**: 351 meV per atom



No. 7
This record from the Alexandria database describes an optimized crystal structure of La2CrRe. The functional is PBE.

a = 3.1596 Å, b = 3.1596 Å, c = 9.2174 Å
α = 90.00°, β = 90.00°, γ = 90.00°
With the nearest neighbours (Å) after each atom.
Fractional coordinates of all 4 atoms:
Cr (0.5000, 0.5000, 0.6907)  4 Re 2.53
La (0.0000, 0.0000, 0.9295)  4 Cr 3.14, 4 La 3.16, 1 Re 3.39
La (0.5000, 0.5000, 0.3180)  4 La 3.16, 4 Re 3.17, 1 Cr 3.44
Re (0.0000, 0.0000, 0.5617)  4 Cr 2.53

Output
**Energy of formation**: 0.268 eV per atom
**D(E_F)**: 0.807 states/eV/atom
**Space-group type**: P4mm (99)
**Energy above the lowest structure with this stoichiometry**: 0 meV per atom



No. 8
This record from the Alexandria database describes an optimized crystal structure of LaCrRe3. The functional is PBE.

a = 4.6042 Å, b = 4.6042 Å, c = 4.6042 Å
α = 90.00°, β = 90.00°, γ = 90.00°
With the nearest neighbours (Å) after each atom.
Fractional coordinates of all 5 atoms:
Re (0.0000, 0.5000, 0.0000)  2 Cr 2.30
Re (0.0000, 0.0000, 0.5000)  2 Cr 2.30
Re (0.5000, 0.0000, 0.0000)  2 Cr 2.30
Cr (0.0000, 0.0000, 0.0000)  6 Re 2.30
La (0.5000, 0.5000, 0.5000)  12 Re 3.26

Output
**Energy of formation**: 0.980 eV per atom
**D(E_F)**: 1.558 states/eV/atom
**Space-group type**: Pm-3m (221)
**Energy above the lowest structure with this stoichiometry**: 0 meV per atom



No. 9
This record from the Alexandria database describes an optimized crystal structure of LaCrRe. The functional is PBE.

a = 3.0374 Å, b = 3.0374 Å, c = 7.2500 Å
α = 90.00°, β = 90.00°, γ = 120.00°
With the nearest neighbours (Å) after each atom.
Fractional coordinates of all 3 atoms:
Cr (0.0000, 0.0000, 0.9469)  3 Re 2.39
La (0.3333, 0.6667, 0.3306)  6 La 3.04, 3 Cr 3.29, 3 Re 3.34
Re (0.6667, 0.3333, 0.7225)  3 Cr 2.39

Output
**Energy of formation**: 0.731 eV per atom
**D(E_F)**: 1.123 states/eV/atom
**Space-group type**: P3m1 (156)
**Energy above the lowest structure with this stoichiometry**: 392 meV per atom



No. 10
This record from the Alexandria database describes an optimized crystal structure of La2CrRe. The functional is PBE.

a = 5.1565 Å, b = 5.1565 Å, c = 5.1565 Å
α = 60.00°, β = 60.00°, γ = 60.00°
With the nearest neighbours (Å) after each atom.
Fractional coordinates of all 4 atoms:
Re (0.5000, 0.5000, 0.5000)  8 La 3.16
Cr (0.0000, 0.0000, 0.0000)  8 La 3.16
La (0.2500, 0.2500, 0.2500)  4 Re 3.16, 4 Cr 3.16
La (0.7500, 0.7500, 0.7500)  4 Re 3.16, 4 Cr 3.16

Output
**Energy of formation**: 0.526 eV per atom
**D(E_F)**: 0.816 states/eV/atom
**Space-group type**: Fm-3m (225)
**Energy above the lowest structure with this stoichiometry**: 258 meV per atom



No. 11
This record from the Alexandria database describes an optimized crystal structure of LaCrRe. The functional is PBE.

a = 6.3745 Å, b = 6.3745 Å, c = 6.3745 Å
α = 151.76°, β = 151.76°, γ = 40.36°
With the nearest neighbours (Å) after each atom.
Fractional coordinates of all 3 atoms:
Cr (0.0362, 0.0362, 0.0000)  4 Re 2.47
La (0.3340, 0.3340, 0.0000)  4 La 3.11, 4 Cr 3.27, 4 Re 3.29
Re (0.6298, 0.6298, 0.0000)  4 Cr 2.47

Output
**Energy of formation**: 0.339 eV per atom
**D(E_F)**: 1.037 states/eV/atom
**Space-group type**: I4mm (107)
**Energy above the lowest structure with this stoichiometry**: 0 meV per atom



No. 12
This record from the Alexandria database describes an optimized crystal structure of La4CrRe. The functional is PBE.

a = 6.1847 Å, b = 6.1847 Å, c = 6.1847 Å
α = 60.00°, β = 60.00°, γ = 60.00°
With the nearest neighbours (Å) after each atom.
Fractional coordinates of all 6 atoms:
La (0.8723, 0.3759, 0.3759)  6 La 3.07-3.11
La (0.3759, 0.3759, 0.8723)  6 La 3.07-3.11
La (0.3759, 0.8723, 0.3759)  6 La 3.07-3.11
La (0.3759, 0.3759, 0.3759)  6 La 3.07-3.11
Cr (0.0000, 0.0000, 0.0000)  12 La 3.63, 4 Re 3.79
Re (0.7500, 0.7500, 0.7500)  12 La 3.62, 4 Cr 3.79

Output
**Energy of formation**: 1.159 eV per atom
**D(E_F)**: 1.508 states/eV/atom
**Space-group type**: F-43m (216)



Number 1: VASP energy -6.84 eV per atom, volume 22.8 A^3/atom. Number 2: VASP energy -7.30 eV per atom, volume 23.0 A^3/atom. Number 3: VASP energy -7.61 eV per atom, volume 25.1 A^3/atom. Number 4: VASP energy -6.84 eV per atom, volume 34.4 A^3/atom. Number 5: VASP energy -8.36 eV per atom, volume 18.3 A^3/atom. Number 6: VASP energy -7.36 eV per atom, volume 22.1 A^3/atom. Number 7: VASP energy -7.71 eV per atom, volume 23.0 A^3/atom. Number 8: VASP energy -9.40 eV per atom, volume 19.5 A^3/atom. Number 9: VASP energy -8.27 eV per atom, volume 19.3 A^3/atom. Number 10: VASP energy -7.46 eV per atom, volume 24.2 A^3/atom. Number 11: VASP energy -8.66 eV per atom, volume 19.3 A^3/atom. Number 12: VASP energy -5.80 eV per atom, volume 27.9 A^3/atom.